No. 1
# Ba2LiCaCu PBE relaxed
# formation energy from the elements = 0.32 eV per formula unit
# total energy = -2.3066 eV/atom
# excess energy over the best structure of this formula in the dataset = 0 meV per atom
data_Ba2LiCaCu
_chemical_formula_sum 'Ba2 Li1 Ca1 Cu1'
_cell_length_a 6.275
_cell_length_b 6.275
_cell_length_c 5.735
_cell_angle_alpha 90.00
_cell_angle_beta 90.00
_cell_angle_gamma 90.00
_symmetry_space_group_name_H-M 'P 1'
_symmetry_Int_Tables_number 1
loop_
_symmetry_equiv_pos_as_xyz
'x,y,z'
loop_
_atom_site_label
_atom_site_type_symbol
_atom_site_fract_x
_atom_site_fract_y
_atom_site_fract_z
_atom_site_occupancy
Cu1 Cu 0.000 0.000 0.000 1
Ca1 Ca 0.000 0.000 0.500 1
Ba1 Ba 0.000 0.500 0.000 1
Ba2 Ba 0.500 0.000 0.000 1
Li1 Li 0.500 0.500 0.500 1

***

No. 2
# Ba2LiCaCu PBE relaxed
# formation energy from the elements = 0.53 eV per formula unit
# total energy = -2.2649 eV/atom
# excess energy over the best structure of this formula in the dataset = 42 meV per atom
data_Ba2LiCaCu
_chemical_formula_sum 'Ba2 Li1 Ca1 Cu1'
_cell_length_a 6.364
_cell_length_b 6.364
_cell_length_c 5.184
_cell_angle_alpha 90.00
_cell_angle_beta 90.00
_cell_angle_gamma 90.00
_symmetry_space_group_name_H-M 'P 1'
_symmetry_Int_Tables_number 1
loop_
_symmetry_equiv_pos_as_xyz
'x,y,z'
loop_
_atom_site_label
_atom_site_type_symbol
_atom_site_fract_x
_atom_site_fract_y
_atom_site_fract_z
_atom_site_occupancy
Li1 Li 0.000 0.000 0.500 1
Cu1 Cu 0.000 0.000 0.000 1
Ba1 Ba 0.500 0.000 0.000 1
Ba2 Ba 0.000 0.500 0.000 1
Ca1 Ca 0.500 0.500 0.500 1

***

No. 3
# BaCaMg2Cu PBE relaxed
# formation energy from the elements = -0.03 eV per formula unit
# total energy = -2.2480 eV/atom
data_BaCaMg2Cu
_chemical_formula_sum 'Ba1 Ca1 Mg2 Cu1'
_cell_length_a 5.273
_cell_length_b 5.273
_cell_length_c 5.517
_cell_angle_alpha 90.00
_cell_angle_beta 90.00
_cell_angle_gamma 90.00
_symmetry_space_group_name_H-M 'P 1'
_symmetry_Int_Tables_number 1
loop_
_symmetry_equiv_pos_as_xyz
'x,y,z'
loop_
_atom_site_label
_atom_site_type_symbol
_atom_site_fract_x
_atom_site_fract_y
_atom_site_fract_z
_atom_site_occupancy
Mg1 Mg 0.000 0.500 0.000 1
Mg2 Mg 0.500 0.000 0.000 1
Cu1 Cu 0.000 0.000 0.000 1
Ba1 Ba 0.500 0.500 0.500 1
Ca1 Ca 0.000 0.000 0.500 1

***

No. 4
# Ba2CaCuN PBE relaxed
# uncorrected formation energy = -0.82 eV/f.u.
# total energy = -3.8179 eV/atom
data_Ba2CaCuN
_chemical_formula_sum 'Ba2 Ca1 Cu1 N1'
_cell_length_a 5.664
_cell_length_b 5.664
_cell_length_c 4.772
_cell_angle_alpha 90.00
_cell_angle_beta 90.00
_cell_angle_gamma 90.00
_symmetry_space_group_name_H-M 'P 1'
_symmetry_Int_Tables_number 1
loop_
_symmetry_equiv_pos_as_xyz
'x,y,z'
loop_
_atom_site_label
_atom_site_type_symbol
_atom_site_fract_x
_atom_site_fract_y
_atom_site_fract_z
_atom_site_occupancy
N1 N 0.000 0.000 0.000 1
Ba1 Ba 0.500 0.000 0.000 1
Ba2 Ba 0.000 0.500 0.000 1
Ca1 Ca 0.000 0.000 0.500 1
Cu1 Cu 0.500 0.500 0.500 1